P | CsNaW3 | GGA-PBE | relaxed

a = 4.981 Å, b = 4.981 Å, c = 4.981 Å
α = 90.00°, β = 90.00°, γ = 90.00°
Positions (direct):
Cs 0.000 0.000 0.000
Na 0.500 0.500 0.500
W 0.000 0.500 0.500
W 0.500 0.000 0.500
W 0.500 0.500 0.000

Summary:
Density of states at the Fermi level, states/eV/cell: 10.0


Q | CsNaW3 | GGA-PBE | relaxed

a = 5.023 Å, b = 5.023 Å, c = 5.023 Å
α = 90.00°, β = 90.00°, γ = 90.00°
Positions (direct):
Cs 0.000 0.000 0.000
Na 0.500 0.500 0.500
W 0.000 0.000 0.500
W 0.000 0.500 0.000
W 0.500 0.000 0.000

Summary:
Density of states at the Fermi level, states/eV/cell: 4.9


P ends up most stable, edging out the next structure by 0.127 eV/atom.